Computed, not measured: an optimized crystal structure of NpCuWO6 at the GGA+U level of DFT.

Unit cell a=5.469 b=5.469 c=9.023 alpha=90.00 beta=90.00 gamma=120.00
Sites, in units of the cell vectors:
Np  0.333  0.667  0.250
Np  0.667  0.333  0.750
Cu  0.000  0.000  0.000
Cu  0.000  0.000  0.500
W  0.333  0.667  0.750
W  0.667  0.333  0.250
O  0.013  0.359  0.635
O  0.013  0.654  0.865
O  0.346  0.359  0.865
O  0.346  0.987  0.635
O  0.359  0.013  0.135
O  0.359  0.346  0.365
O  0.641  0.654  0.635
O  0.641  0.987  0.865
O  0.654  0.013  0.365
O  0.654  0.641  0.135
O  0.987  0.346  0.135
O  0.987  0.641  0.365

Values from the calculation:
Its space group is P-31c, No. 163. The total energy comes out at -7.93 eV/atom.